(1)
This record from Alexandria describes crystalline CaHoSc4S8 at its relaxed geometry. The functional is PBE-GGA.

POSCAR file:
```
CaHoSc4S8
1.0
-4.9487 4.8840 -3.3647
-6.4589 2.0988 3.6799
-0.6845 7.3026 2.7405
Sc S Ca Ho
4 8 1 1
Cartesian
-3.5458 4.7134 3.1906
-2.8015 6.0862 -0.2815
-0.3624 3.6790 1.3769
-7.2272 5.2581 0.5296
-6.7879 8.1372 4.0625
-8.7528 7.1836 0.9638
-3.2792 6.9970 2.0634
-5.9675 9.6502 0.2356
-9.1395 10.6016 2.2323
-5.3985 6.0937 -0.9473
-2.8843 3.7927 0.8812
-6.1828 4.6472 2.7111
-4.8484 9.0536 2.5401
-0.6980 7.2810 2.7291
```

Computed properties:
- Total energy: -0.2398 hartree per atom
- Fermi-level density of states: 5.28 states/eV/f.u.
- SG: No. 160
- Calculated volume: 23.75 Å³/atom
- Uncorrected formation energy: -26.422 eV per formula unit

=====

(2)
This record from Alexandria describes crystalline CaHoSeS at its relaxed geometry. The functional is PBE-GGA.

POSCAR file:
```
CaHoSeS
1.0
-2.2549 -3.0972 -0.9193
3.8710 -0.4776 0.5554
-0.9223 1.0117 7.2908
Ho Se Ca S
1 1 1 1
Cartesian
0.6442 -0.3217 6.3456
3.3349 -0.7532 1.2031
-1.0385 -2.8097 1.9742
-1.1305 -0.9090 4.2390
```

Computed properties:
- Total energy: -0.1979 hartree per atom
- Fermi-level density of states: 2.20 states/eV/f.u.
- SG: No. 160
- Calculated volume: 23.73 Å³/atom
- Uncorrected formation energy: -7.350 eV per formula unit

=====

(3)
This record from Alexandria describes crystalline CaSmHo2S4 at its relaxed geometry. The functional is PBE-GGA.

POSCAR file:
```
CaSmHo2S4
1.0
3.9266 0.0000 0.0000
0.0000 6.8354 -0.1528
0.0000 2.3897 6.4213
Ho S Sm Ca
2 4 1 1
Cartesian
0.0000 2.3897 6.4212
1.9633 1.1948 3.2106
1.9633 5.7784 1.4876
0.0001 6.9648 4.6591
3.9266 2.2603 1.6093
1.9633 3.4467 4.7808
1.9633 3.4177 -0.0764
0.0000 4.6125 3.1342
```

Computed properties:
- Total energy: -0.2230 hartree per atom
- Fermi-level density of states: 2.61 states/eV/f.u.
- SG: No. 10
- Calculated volume: 21.72 Å³/atom
- Uncorrected formation energy: -16.160 eV per formula unit

=====

(4)
This record from Alexandria describes crystalline CaSm3Ho2S6 at its relaxed geometry. The functional is PBE-GGA.

POSCAR file:
```
CaSm3Ho2S6
1.0
-6.0750 -2.7657 1.5080
4.3428 -3.3130 -4.1223
3.2139 -0.9620 6.0402
S Ho Ca Sm
6 2 1 3
Cartesian
2.0079 -2.2930 3.9382
-0.5262 -4.7477 -0.5122
-0.6130 -5.2088 3.5643
2.8866 -5.3926 1.6730
-1.4049 -1.6481 1.7530
2.0947 -1.8319 -0.1384
-2.6039 -2.9481 -0.3680
0.8717 -3.1306 -2.2463
0.0000 0.0000 0.0000
4.2378 -3.7041 -0.1770
0.7409 -3.5204 1.7130
-2.7561 -3.3367 3.6029
```

Computed properties:
- Total energy: -0.2276 hartree per atom
- Fermi-level density of states: 5.10 states/eV/f.u.
- SG: No. 12
- Calculated volume: 22.05 Å³/atom
- Uncorrected formation energy: -24.232 eV per formula unit

=====

Which value of calculated volume does entry 4 give? 22.05 Å³/atom